Model 1:
A geometry-optimized La2Ce3Pb4 structure, computed with PBE-GGA.

POSCAR file:
```
La2Ce3Pb4
1.0
7.1419 0.0000 0.0000
0.0000 9.4092 0.0000
-3.5709 0.0000 8.9618
Pb Ce La
8 6 4
direct
0.3188 0.4438 0.6376
0.1812 0.9438 0.3624
0.2805 0.2500 0.0611
0.8188 0.0562 0.6376
0.2195 0.7500 0.9389
0.6812 0.5562 0.3624
0.7195 0.7500 0.9389
0.7805 0.2500 0.0611
0.0435 0.7500 0.5869
0.5435 0.7500 0.5869
0.9565 0.2500 0.4131
0.5000 0.5000 0.0000
0.0000 0.0000 0.0000
0.4565 0.2500 0.4131
0.8885 0.4180 0.7770
0.1115 0.5820 0.2230
0.6115 0.9180 0.2230
0.3885 0.0820 0.7770
```

As for the total magnetization: 3.3 μB/f.u.



Model 2:
A geometry-optimized La2Ce3Pb4 structure, computed with PBE-GGA.

POSCAR file:
```
La2Ce3Pb4
1.0
-3.6020 2.0657 -2.9112
-4.8241 -1.8880 4.6292
4.1376 6.8571 4.1630
Pb Ce La
4 3 2
direct
0.7379 0.6702 0.4758
0.4972 0.7177 0.9945
0.5028 0.2823 0.0055
0.2621 0.3298 0.5242
0.0000 0.0000 0.0000
0.8919 0.4351 0.7839
0.1081 0.5649 0.2161
0.6663 0.0890 0.3326
0.3337 0.9110 0.6674
```

As for the total magnetization: 3.5 μB/f.u.



The most stable arrangement is model 2, and the next structure is 0.021 eV/atom less stable.



Model 1:
A geometry-optimized LaCe2Pb3 structure, computed with PBE-GGA.

POSCAR file:
```
LaCe2Pb3
1.0
4.2219 0.0000 0.0000
0.0000 4.2219 0.0000
0.0000 0.0000 10.2672
Pb Ce La
3 2 1
direct
0.0000 0.0000 0.0000
0.0000 0.0000 0.3259
0.0000 0.0000 0.6741
0.5000 0.5000 0.1618
0.5000 0.5000 0.8382
0.5000 0.5000 0.5000
```

As for the total magnetization: 2.5 μB/f.u.



Model 2:
A geometry-optimized LaCe2Pb3 structure, computed with PBE-GGA.

POSCAR file:
```
LaCe2Pb3
1.0
-1.2666 -4.1494 1.5224
-0.9100 -1.9701 -6.1266
7.6439 0.9503 2.0067
Pb La Ce
3 1 2
direct
0.3244 0.3244 0.6488
0.0000 0.0000 0.0000
0.6756 0.6756 0.3512
0.0000 0.5000 0.0000
0.3365 0.8365 0.6729
0.6635 0.1635 0.3271
```

As for the total magnetization: 0.3 μB/f.u.



The most stable arrangement is model 1, and the next structure is 0.106 eV/atom less stable.